Entry 1:
TlCu4I6 | GGA-PBE | optimized geometry

```
data_TlCu4I6
_chemical_formula_sum 'Tl1 Cu4 I6'
_symmetry_space_group_name_H-M 'P 1'
_symmetry_Int_Tables_number 1
_cell_length_a 7.2484
_cell_length_b 7.2484
_cell_length_c 7.8495
_cell_angle_alpha 117.50
_cell_angle_beta 117.50
_cell_angle_gamma 90.00
loop_
_symmetry_equiv_pos_as_xyz
'x,y,z'
loop_
_atom_site_label
_atom_site_type_symbol
_atom_site_fract_x
_atom_site_fract_y
_atom_site_fract_z
_atom_site_occupancy
Tl1 Tl 0.5000 0.5000 0.0000 1
Cu1 Cu 0.0296 0.0296 0.8101 1
Cu2 Cu 0.2195 0.9704 0.1899 1
Cu3 Cu 0.7805 0.7805 0.8101 1
Cu4 Cu 0.9704 0.2195 0.1899 1
I1 I 0.0388 0.0388 0.4481 1
I2 I 0.4093 0.4093 0.4481 1
I3 I 0.9612 0.5907 0.5519 1
I4 I 0.5000 0.0000 0.0000 1
I5 I 0.5907 0.9612 0.5519 1
I6 I 0.0000 0.5000 0.0000 1
```

## Properties
DFT total energy in eV/atom: -2.490
SG: I-42m
N(E_F) in states/eV/atom: 0.6542
Energy relative to the elements, uncorrected in kJ/mol of atoms: 6

Entry 2:
Ac3PrAs4 | GGA-PBE | optimized geometry

```
data_Ac3PrAs4
_chemical_formula_sum 'Ac3 Pr1 As4'
_symmetry_space_group_name_H-M 'P 1'
_symmetry_Int_Tables_number 1
_cell_length_a 6.3585
_cell_length_b 6.3585
_cell_length_c 6.3585
_cell_angle_alpha 90.00
_cell_angle_beta 90.00
_cell_angle_gamma 90.00
loop_
_symmetry_equiv_pos_as_xyz
'x,y,z'
loop_
_atom_site_label
_atom_site_type_symbol
_atom_site_fract_x
_atom_site_fract_y
_atom_site_fract_z
_atom_site_occupancy
Pr1 Pr 0.0000 0.0000 0.0000 1
Ac1 Ac 0.0000 0.5000 0.5000 1
Ac2 Ac 0.5000 0.0000 0.5000 1
Ac3 Ac 0.5000 0.5000 0.0000 1
As1 As 0.5000 0.0000 0.0000 1
As2 As 0.0000 0.5000 0.0000 1
As3 As 0.0000 0.0000 0.5000 1
As4 As 0.5000 0.5000 0.5000 1
```

## Properties
Energy relative to the lowest polymorph listed for this composition in meV/atom: 9
E_form in eV per formula unit: -11.727
DFT total energy in eV/atom: -5.929
SG: Pm-3m
N(E_F) in states/eV/atom: 0.2560

Entry 3:
DyMn4Si2 | GGA-PBE | optimized geometry

```
data_DyMn4Si2
_chemical_formula_sum 'Dy1 Mn4 Si2'
_symmetry_space_group_name_H-M 'P 1'
_symmetry_Int_Tables_number 1
_cell_length_a 3.8878
_cell_length_b 3.8631
_cell_length_c 6.7805
_cell_angle_alpha 90.00
_cell_angle_beta 106.66
_cell_angle_gamma 90.00
loop_
_symmetry_equiv_pos_as_xyz
'x,y,z'
loop_
_atom_site_label
_atom_site_type_symbol
_atom_site_fract_x
_atom_site_fract_y
_atom_site_fract_z
_atom_site_occupancy
Dy1 Dy 0.0000 0.0000 0.0000 1
Mn1 Mn 0.2003 0.5000 0.4007 1
Mn2 Mn 0.2991 0.0000 0.5981 1
Mn3 Mn 0.7997 0.5000 0.5993 1
Mn4 Mn 0.7009 0.0000 0.4019 1
Si1 Si 0.4056 0.5000 0.8111 1
Si2 Si 0.5944 0.5000 0.1889 1
```

## Properties
DFT total energy in eV/atom: -7.913
SG: Cmmm
N(E_F) in states/eV/atom: 0.8084
Energy relative to the elements, uncorrected in kJ/mol of atoms: -45

Entry 4:
Np2Ga4Ge2Ir | GGA-PBE | optimized geometry

```
data_Np2Ga4Ge2Ir
_chemical_formula_sum 'Np2 Ga4 Ge2 Ir1'
_symmetry_space_group_name_H-M 'P 1'
_symmetry_Int_Tables_number 1
_cell_length_a 6.2345
_cell_length_b 6.2345
_cell_length_c 6.2345
_cell_angle_alpha 89.08
_cell_angle_beta 120.53
_cell_angle_gamma 120.53
loop_
_symmetry_equiv_pos_as_xyz
'x,y,z'
loop_
_atom_site_label
_atom_site_type_symbol
_atom_site_fract_x
_atom_site_fract_y
_atom_site_fract_z
_atom_site_occupancy
Np1 Np 0.5000 0.7500 0.2500 1
Np2 Np 0.5000 0.2500 0.7500 1
Ga1 Ga 0.0000 0.7164 0.2836 1
Ga2 Ga 0.4327 0.7164 0.7164 1
Ga3 Ga 0.0000 0.2836 0.7164 1
Ga4 Ga 0.5673 0.2836 0.2836 1
Ge1 Ge 0.0000 0.7201 0.7201 1
Ge2 Ge 0.0000 0.2799 0.2799 1
Ir1 Ir 0.0000 0.0000 0.0000 1
```

## Properties
E_form in eV per formula unit: -2.422
DFT total energy in eV/atom: -6.501
SG: I4/mmm
N(E_F) in states/eV/atom: 1.7716

Entry 5:
AlCuTc2 | GGA-PBE | optimized geometry

```
data_AlCuTc2
_chemical_formula_sum 'Al1 Cu1 Tc2'
_symmetry_space_group_name_H-M 'P 1'
_symmetry_Int_Tables_number 1
_cell_length_a 4.4854
_cell_length_b 4.4854
_cell_length_c 4.4854
_cell_angle_alpha 127.28
_cell_angle_beta 127.28
_cell_angle_gamma 77.79
loop_
_symmetry_equiv_pos_as_xyz
'x,y,z'
loop_
_atom_site_label
_atom_site_type_symbol
_atom_site_fract_x
_atom_site_fract_y
_atom_site_fract_z
_atom_site_occupancy
Tc1 Tc 0.0000 0.0000 0.0000 1
Tc2 Tc 0.2500 0.7500 0.5000 1
Cu1 Cu 0.7500 0.2500 0.5000 1
Al1 Al 0.5000 0.5000 0.0000 1
```

## Properties
E_form in eV per formula unit: -0.480
DFT total energy in eV/atom: -7.263
SG: I-4m2
N(E_F) in states/eV/atom: 0.5740

Entry 6:
Na2TlGa | GGA-PBE | optimized geometry

```
data_Na2TlGa
_chemical_formula_sum 'Na2 Tl1 Ga1'
_symmetry_space_group_name_H-M 'P 1'
_symmetry_Int_Tables_number 1
_cell_length_a 3.4129
_cell_length_b 3.4129
_cell_length_c 10.7671
_cell_angle_alpha 80.88
_cell_angle_beta 80.88
_cell_angle_gamma 60.00
loop_
_symmetry_equiv_pos_as_xyz
'x,y,z'
loop_
_atom_site_label
_atom_site_type_symbol
_atom_site_fract_x
_atom_site_fract_y
_atom_site_fract_z
_atom_site_occupancy
Na1 Na 0.0796 0.0796 0.7613 1
Na2 Na 0.2538 0.2538 0.2386 1
Tl1 Tl 0.4998 0.4998 0.5005 1
Ga1 Ga 0.6668 0.6668 0.9996 1
```

## Properties
Energy relative to the lowest polymorph listed for this composition in meV/atom: 86
E_form in eV per formula unit: 0.061
DFT total energy in eV/atom: -1.993
SG: R3m
N(E_F) in states/eV/atom: 0.4796

Entry 7:
PmPrSi | GGA-PBE | optimized geometry

```
data_PmPrSi
_chemical_formula_sum 'Pm2 Pr2 Si2'
_symmetry_space_group_name_H-M 'P 1'
_symmetry_Int_Tables_number 1
_cell_length_a 4.2175
_cell_length_b 6.4456
_cell_length_c 7.4265
_cell_angle_alpha 115.72
_cell_angle_beta 106.50
_cell_angle_gamma 90.00
loop_
_symmetry_equiv_pos_as_xyz
'x,y,z'
loop_
_atom_site_label
_atom_site_type_symbol
_atom_site_fract_x
_atom_site_fract_y
_atom_site_fract_z
_atom_site_occupancy
Pm1 Pm 0.0000 0.7719 0.0000 1
Pm2 Pm 0.0000 0.2281 0.0000 1
Pr1 Pr 0.6983 0.6983 0.3967 1
Pr2 Pr 0.3017 0.3017 0.6033 1
Si1 Si 0.6369 0.1369 0.2738 1
Si2 Si 0.3631 0.8631 0.7262 1
```

## Properties
Energy relative to the lowest polymorph listed for this composition in meV/atom: 3
DFT total energy in eV/atom: -5.417
SG: Immm
N(E_F) in states/eV/atom: 0.9423
Energy relative to the elements, uncorrected in kJ/mol of atoms: -42

Entry 8:
PuGaCu2 | GGA-PBE | optimized geometry

```
data_PuGaCu2
_chemical_formula_sum 'Pu4 Ga4 Cu8'
_symmetry_space_group_name_H-M 'P 1'
_symmetry_Int_Tables_number 1
_cell_length_a 4.3486
_cell_length_b 6.5616
_cell_length_c 9.6851
_cell_angle_alpha 90.00
_cell_angle_beta 90.00
_cell_angle_gamma 90.00
loop_
_symmetry_equiv_pos_as_xyz
'x,y,z'
loop_
_atom_site_label
_atom_site_type_symbol
_atom_site_fract_x
_atom_site_fract_y
_atom_site_fract_z
_atom_site_occupancy
Pu1 Pu 0.7500 0.7469 0.1703 1
Pu2 Pu 0.2500 0.2531 0.8297 1
Pu3 Pu 0.7500 0.2469 0.3297 1
Pu4 Pu 0.2500 0.7531 0.6703 1
Ga1 Ga 0.2500 0.4297 0.1317 1
Ga2 Ga 0.2500 0.9297 0.3683 1
Ga3 Ga 0.7500 0.5703 0.8683 1
Ga4 Ga 0.7500 0.0703 0.6317 1
Cu1 Cu 0.7500 0.9484 0.8927 1
Cu2 Cu 0.2500 0.0516 0.1073 1
Cu3 Cu 0.7500 0.4484 0.6073 1
Cu4 Cu 0.2500 0.5516 0.3927 1
Cu5 Cu 0.7500 0.7624 0.4613 1
Cu6 Cu 0.2500 0.7376 0.9613 1
Cu7 Cu 0.7500 0.2624 0.0387 1
Cu8 Cu 0.2500 0.2376 0.5387 1
```

## Properties
E_form in eV per formula unit: -0.595
DFT total energy in eV/atom: -6.537
SG: Pnma
N(E_F) in states/eV/atom: 2.6795

Entry 9:
TbPmHo6 | GGA-PBE | optimized geometry

```
data_TbPmHo6
_chemical_formula_sum 'Tb1 Pm1 Ho6'
_symmetry_space_group_name_H-M 'P 1'
_symmetry_Int_Tables_number 1
_cell_length_a 6.6803
_cell_length_b 6.5101
_cell_length_c 7.0048
_cell_angle_alpha 105.93
_cell_angle_beta 61.91
_cell_angle_gamma 89.99
loop_
_symmetry_equiv_pos_as_xyz
'x,y,z'
loop_
_atom_site_label
_atom_site_type_symbol
_atom_site_fract_x
_atom_site_fract_y
_atom_site_fract_z
_atom_site_occupancy
Tb1 Tb 0.0000 0.5000 0.0000 1
Pm1 Pm 0.0000 0.0000 0.0000 1
Ho1 Ho 0.0950 0.7288 0.4727 1
Ho2 Ho 0.5716 0.7691 0.5224 1
Ho3 Ho 0.4284 0.2309 0.4776 1
Ho4 Ho 0.9050 0.2712 0.5273 1
Ho5 Ho 0.5387 0.7486 0.9996 1
Ho6 Ho 0.4613 0.2514 0.0004 1
```

## Properties
Energy relative to the lowest polymorph listed for this composition in meV/atom: 186
E_form in eV per formula unit: 1.661
DFT total energy in eV/atom: -4.398
SG: P-1
N(E_F) in states/eV/atom: 1.6496

Entry 10:
AlOsRhO6 | GGA-PBE | optimized geometry

```
data_AlOsRhO6
_chemical_formula_sum 'Al2 Os2 Rh2 O12'
_symmetry_space_group_name_H-M 'P 1'
_symmetry_Int_Tables_number 1
_cell_length_a 4.9733
_cell_length_b 4.9733
_cell_length_c 8.6031
_cell_angle_alpha 90.00
_cell_angle_beta 90.00
_cell_angle_gamma 120.00
loop_
_symmetry_equiv_pos_as_xyz
'x,y,z'
loop_
_atom_site_label
_atom_site_type_symbol
_atom_site_fract_x
_atom_site_fract_y
_atom_site_fract_z
_atom_site_occupancy
Al1 Al 0.6667 0.3333 0.2500 1
Al2 Al 0.3333 0.6667 0.7500 1
Os1 Os 0.3333 0.6667 0.2500 1
Os2 Os 0.6667 0.3333 0.7500 1
Rh1 Rh 0.0000 0.0000 0.0000 1
Rh2 Rh 0.0000 0.0000 0.5000 1
O1 O 0.6541 0.6485 0.1301 1
O2 O 0.9944 0.3459 0.1301 1
O3 O 0.3459 0.9944 0.6301 1
O4 O 0.0056 0.6541 0.8699 1
O5 O 0.3515 0.3459 0.3699 1
O6 O 0.9944 0.6485 0.3699 1
O7 O 0.6485 0.9944 0.8699 1
O8 O 0.6541 0.0056 0.3699 1
O9 O 0.0056 0.3515 0.6301 1
O10 O 0.3515 0.0056 0.1301 1
O11 O 0.6485 0.6541 0.6301 1
O12 O 0.3459 0.3515 0.8699 1
```

## Properties
DFT total energy in eV/atom: -7.174
SG: P-31c
N(E_F) in states/eV/atom: 0.5798
Energy relative to the elements, uncorrected in kJ/mol of atoms: -134

Entry 11:
Os4Au5 | GGA-PBE | optimized geometry

```
data_Os4Au5
_chemical_formula_sum 'Os4 Au5'
_symmetry_space_group_name_H-M 'P 1'
_symmetry_Int_Tables_number 1
_cell_length_a 6.4559
_cell_length_b 6.4559
_cell_length_c 6.4559
_cell_angle_alpha 95.29
_cell_angle_beta 95.29
_cell_angle_gamma 144.63
loop_
_symmetry_equiv_pos_as_xyz
'x,y,z'
loop_
_atom_site_label
_atom_site_type_symbol
_atom_site_fract_x
_atom_site_fract_y
_atom_site_fract_z
_atom_site_occupancy
Os1 Os 0.0000 0.3536 0.3536 1
Os2 Os 0.0000 0.6464 0.6464 1
Os3 Os 0.3536 0.0000 0.3536 1
Os4 Os 0.6464 0.0000 0.6464 1
Au1 Au 0.0000 0.0000 0.0000 1
Au2 Au 0.3305 0.3305 0.6610 1
Au3 Au 0.3305 0.6695 0.0000 1
Au4 Au 0.6695 0.3305 0.0000 1
Au5 Au 0.6695 0.6695 0.3390 1
```

## Properties
E_form in eV per formula unit: 4.526
DFT total energy in eV/atom: -6.309
SG: I4/mmm
N(E_F) in states/eV/atom: 0.8624

Entry 12:
LiUGeAu | GGA-PBE | optimized geometry

```
data_LiUGeAu
_chemical_formula_sum 'Li1 U1 Ge1 Au1'
_symmetry_space_group_name_H-M 'P 1'
_symmetry_Int_Tables_number 1
_cell_length_a 4.8451
_cell_length_b 4.8451
_cell_length_c 4.8451
_cell_angle_alpha 60.00
_cell_angle_beta 60.00
_cell_angle_gamma 60.00
loop_
_symmetry_equiv_pos_as_xyz
'x,y,z'
loop_
_atom_site_label
_atom_site_type_symbol
_atom_site_fract_x
_atom_site_fract_y
_atom_site_fract_z
_atom_site_occupancy
Au1 Au 0.7500 0.7500 0.7500 1
Ge1 Ge 0.2500 0.2500 0.2500 1
U1 U 0.0000 0.0000 0.0000 1
Li1 Li 0.5000 0.5000 0.5000 1
```

## Properties
E_form in eV per formula unit: -0.870
DFT total energy in eV/atom: -5.492
SG: F-43m
N(E_F) in states/eV/atom: 2.0644